## MgTaTc2F (PBE)

Data for a relaxed structure of MgTaTc2F.

Cell: 4.6260 4.9447 4.6260 Å, 90.00 90.00 90.00°
Last column: nearest neighbours and their distance in Å.
Fractional positions:
1 Mg 0.0000 0.0000 0.0000  4 Tc 2.31, 2 Ta 2.47
2 Tc 0.0000 0.0000 0.5000  2 Mg 2.31
3 Tc 0.5000 0.0000 0.0000  2 Mg 2.31
4 F 0.5000 0.5000 0.5000  4 Ta 3.27, 8 Tc 3.39
5 Ta 0.0000 0.5000 0.0000  2 Mg 2.47

Calculated values
Its space-group type is P4/mmm. The value obtained for the total DFT energy (no corrections) is -25.62 eV/cell.



## MgZrTaF2 (PBE)

Data for a relaxed structure of MgZrTaF2.

Cell: 4.0947 5.8288 4.0947 Å, 90.00 90.00 90.00°
Last column: nearest neighbours and their distance in Å.
Fractional positions:
1 F 0.0000 0.0000 0.5000  2 Ta 2.05
2 F 0.5000 0.0000 0.0000  2 Ta 2.05
3 Zr 0.5000 0.5000 0.5000  4 Mg 2.90
4 Mg 0.0000 0.5000 0.0000  4 Zr 2.90, 2 Ta 2.91
5 Ta 0.0000 0.0000 0.0000  4 F 2.05

Calculated values
Its space-group type is P4/mmm. The value obtained for the total DFT energy (no corrections) is -28.17 eV/cell.



## MgTcF6 (PBE)

Data for a relaxed structure of MgTcF6.

Cell: 5.0943 5.0943 9.4352 Å, 90.00 90.00 120.00°
Last column: nearest neighbours and their distance in Å.
Fractional positions:
1 F 0.9619 0.2927 0.6218  1 Tc 1.97, 1 Mg 2.02
2 F 0.6692 0.7073 0.1218  1 Tc 1.97, 1 Mg 2.02
3 F 0.6692 0.9619 0.3782  1 Tc 1.97, 1 Mg 2.02
4 F 0.7073 0.6692 0.6218  1 Tc 1.97, 1 Mg 2.02
5 F 0.3308 0.2927 0.8782  1 Tc 1.97, 1 Mg 2.02
6 F 0.2927 0.9619 0.1218  1 Tc 1.97, 1 Mg 2.02
7 F 0.2927 0.3308 0.3782  1 Tc 1.97, 1 Mg 2.02
8 F 0.9619 0.6692 0.8782  1 Tc 1.97, 1 Mg 2.02
9 F 0.7073 0.0381 0.8782  1 Tc 1.97, 1 Mg 2.02
10 F 0.0381 0.3308 0.1218  1 Tc 1.97, 1 Mg 2.02
11 F 0.0381 0.7073 0.3782  1 Tc 1.97, 1 Mg 2.02
12 F 0.3308 0.0381 0.6218  1 Tc 1.97, 1 Mg 2.02
13 Mg 0.6667 0.3333 0.7500  6 F 2.02
14 Mg 0.3333 0.6667 0.2500  6 F 2.02
15 Tc 0.0000 0.0000 0.5000  6 F 1.97
16 Tc 0.0000 0.0000 0.0000  6 F 1.97

Calculated values
Its space-group type is P-31c. The value obtained for the total DFT energy (no corrections) is -88.95 eV/cell.



| no. | mass density (g/cm³) |
| --- | --- |
| 1 | 6.59 |
| 2 | 5.68 |
| 3 | 3.70 |